This record from the Alexandria database describes crystalline Pr2Sn9Pb at its relaxed geometry. The functional is PBE-GGA.

Cell: 4.7086 4.7086 15.2047 Å, 90.00 90.00 90.00°
Positions (direct):
1 Pr 0.0000 0.0000 0.3459
2 Pr 0.0000 0.0000 0.6541
3 Sn 0.5000 0.5000 0.0000
4 Sn 0.5000 0.5000 0.3321
5 Sn 0.5000 0.5000 0.6679
6 Sn 0.5000 0.0000 0.1698
7 Sn 0.5000 0.0000 0.5000
8 Sn 0.5000 0.0000 0.8302
9 Sn 0.0000 0.5000 0.1698
10 Sn 0.0000 0.5000 0.5000
11 Sn 0.0000 0.5000 0.8302
12 Pb 0.0000 0.0000 0.0000

Computed properties:
DFT formation energy: -3.65 eV/f.u.
magnetic moment: 0.00 μB/cell


This record from the Alexandria database describes crystalline Pr3Sn3Pb at its relaxed geometry. The functional is PBE-GGA.

Cell: 6.0789 9.2944 9.2944 Å, 120.00 90.00 90.00°
Positions (direct):
1 Pr 0.7500 0.6644 0.5789
2 Pr 0.7500 0.4211 0.0855
3 Pr 0.7500 0.9145 0.3356
4 Pr 0.2500 0.3356 0.4211
5 Pr 0.2500 0.5789 0.9145
6 Pr 0.2500 0.0855 0.6644
7 Sn 0.2500 0.7613 0.6993
8 Sn 0.2500 0.3007 0.0620
9 Sn 0.2500 0.9380 0.2387
10 Sn 0.7500 0.2387 0.3007
11 Sn 0.7500 0.6993 0.9380
12 Sn 0.7500 0.0620 0.7613
13 Pb 0.2500 0.6667 0.3333
14 Pb 0.7500 0.3333 0.6667

Computed properties:
DFT formation energy: -3.13 eV/f.u.
magnetic moment: 0.00 μB/cell